Entry 1:
## CaLaCuN2 (GGA-PBE)

Data for CaLaCuN2 after structural relaxation.

The excess energy over the best structure of this formula in the dataset is 0 meV per atom. The crystal system is monoclinic. The value obtained for the mass density is 4.979 g/cm³.

It has space group P2/c (No. 13), with a = 5.797 Å, b = 4.642 Å, c = 6.760 Å, α = 90.00°, β = 97.29° and γ = 90.00°. The distinct sites, in fractional coordinates, are Ca at (0.000, 0.018, 0.250), La at (0.500, 0.410, 0.750), Cu at (0.000, 0.500, 0.000) and N at (0.259, 0.260, 0.020).

***

Entry 2:
## KSiAu3 (GGA-PBE)

Data for KSiAu3 after structural relaxation.

The crystal system is monoclinic. Its total energy is -3.392 eV/atom. The value obtained for the mass density is 8.963 g/cm³.

It has space group C2/m (No. 12), with a = 15.705 Å, b = 4.584 Å, c = 7.221 Å, α = 90.00°, β = 110.24° and γ = 90.00°. The distinct sites, in fractional coordinates, are K at (0.103, 0.000, 0.126), Si at (0.162, 0.500, 0.767), Au at (0.001, 0.500, 0.699), Au at (0.190, 0.500, 0.457) and Au at (0.229, 0.000, 0.856).

***

Entry 3:
## Pm4Hg3Os (GGA-PBE)

Data for Pm4Hg3Os after structural relaxation.

The formation energy comes out at -0.30 eV/atom. The crystal system is cubic. The value obtained for the mass density is 11.075 g/cm³.

It has space group Im-3m (No. 229), with a = 7.438 Å, b = 7.438 Å, c = 7.438 Å, α = 90.00°, β = 90.00° and γ = 90.00°. The distinct sites, in fractional coordinates, are Pm at (0.250, 0.250, 0.250), Hg at (0.000, 0.000, 0.500) and Os at (0.000, 0.000, 0.000).